Version a
SrMgSb after structural relaxation. Source: the Alexandria database, functional PBE.

Cell and atoms, written as POSCAR:
```
SrMgSb
1.0
3.7826 0.0000 0.0000
0.0000 4.1905 0.0000
0.0000 0.0000 11.6617
Sr Mg Sb
2 2 2
direct
0.0000 0.0000 0.0000
0.5000 0.5000 0.5000
0.0000 0.0000 0.7046
0.5000 0.5000 0.2046
0.0000 0.0000 0.3136
0.5000 0.5000 0.8136
```

- space group = Imm2 (44)

Version b
SrMgSb after structural relaxation. Source: the Alexandria database, functional PBE.

Cell and atoms, written as POSCAR:
```
SrMgSb
1.0
4.8232 0.0000 0.0000
-2.4116 4.1770 0.0000
0.0000 0.0000 4.7087
Sr Mg Sb
1 1 1
direct
0.0000 0.0000 0.0000
0.6667 0.3333 0.4967
0.3333 0.6667 0.5024
```

- space group = P3m1 (156)

version b has the most favorable energy; the next structure is 199 meV per atom above.

Version a
SrMg14Sb after structural relaxation. Source: the Alexandria database, functional PBE.

Cell and atoms, written as POSCAR:
```
SrMg14Sb
1.0
6.6157 0.0000 0.0000
-3.3078 5.7293 0.0000
0.0000 0.0000 10.4712
Sr Mg Sb
1 14 1
direct
0.0000 0.0000 0.0000
0.0136 0.5068 0.0000
0.1712 0.3424 0.2623
0.1712 0.3424 0.7377
0.1712 0.8288 0.2623
0.1712 0.8288 0.7377
0.4932 0.5068 0.0000
0.4932 0.9864 0.0000
0.5058 0.0116 0.5000
0.5058 0.4942 0.5000
0.6576 0.8288 0.2623
0.6576 0.8288 0.7377
0.6667 0.3333 0.2419
0.6667 0.3333 0.7581
0.9884 0.4942 0.5000
0.0000 0.0000 0.5000
```

- space group = P-6m2 (187)

Version b
SrMg14Sb after structural relaxation. Source: the Alexandria database, functional PBE.

Cell and atoms, written as POSCAR:
```
SrMg14Sb
1.0
10.5761 0.0000 0.0000
0.0000 3.2039 5.8127
0.0000 -3.2039 5.8127
Sr Mg Sb
1 14 1
direct
0.0000 0.0000 0.0000
0.0000 0.0053 0.4951
0.0000 0.4951 0.0053
0.2401 0.6605 0.6605
0.2598 0.1644 0.1644
0.2619 0.1576 0.6564
0.2619 0.6564 0.1576
0.5000 0.5002 0.9906
0.5000 0.5007 0.5007
0.5000 0.9906 0.5002
0.5000 0.9975 0.9975
0.7381 0.1576 0.6564
0.7381 0.6564 0.1576
0.7402 0.1644 0.1644
0.7599 0.6605 0.6605
0.0000 0.4843 0.4843
```

- space group = Amm2 (38)

version b has the most favorable energy; the next structure is 35 meV per atom above.

Version a
SrMg3Sb after structural relaxation. Source: the Alexandria database, functional PBE.

Cell and atoms, written as POSCAR:
```
SrMg3Sb
1.0
5.5995 0.0000 0.0000
0.0000 5.5995 0.0000
0.0000 0.0000 5.5995
Sr Mg Sb
1 3 1
direct
0.0000 0.0000 0.0000
0.0000 0.5000 0.5000
0.5000 0.0000 0.5000
0.5000 0.5000 0.0000
0.5000 0.5000 0.5000
```

- space group = Pm-3m (221)

Version b
SrMg3Sb after structural relaxation. Source: the Alexandria database, functional PBE.

Cell and atoms, written as POSCAR:
```
SrMg3Sb
1.0
6.0343 0.0000 0.0000
0.0000 6.0343 0.0000
0.0000 0.0000 6.0343
Sr Mg Sb
1 3 1
direct
0.0000 0.0000 0.0000
0.0000 0.0000 0.5000
0.0000 0.5000 0.0000
0.5000 0.0000 0.0000
0.5000 0.5000 0.5000
```

- space group = Pm-3m (221)

version a has the most favorable energy; the next structure is 952 meV per atom above.

Version a
SrMgSbTe2 after structural relaxation. Source: the Alexandria database, functional PBE.

Cell and atoms, written as POSCAR:
```
SrMgSbTe2
1.0
6.0729 0.0000 0.0000
0.0000 6.0729 0.0000
0.0000 0.0000 6.0533
Sr Mg Sb Te
1 1 1 2
direct
0.0000 0.0000 0.0000
0.5000 0.5000 0.5000
0.0000 0.0000 0.5000
0.0000 0.5000 0.0000
0.5000 0.0000 0.0000
```

- space group = P4/mmm (123)

Version b
SrMgSbTe2 after structural relaxation. Source: the Alexandria database, functional PBE.

Cell and atoms, written as POSCAR:
```
SrMgSbTe2
1.0
5.6839 0.0000 0.0000
0.0000 5.6839 0.0000
0.0000 0.0000 5.2730
Sr Mg Sb Te
1 1 1 2
direct
0.0000 0.0000 0.0000
0.5000 0.5000 0.5000
0.5000 0.5000 0.0000
0.0000 0.5000 0.5000
0.5000 0.0000 0.5000
```

- space group = P4/mmm (123)

version b has the most favorable energy; the next structure is 751 meV per atom above.